The following is a PBE+U calculation of a geometry-optimized Ni3PdO structure, from the Alexandria database.

size of the total moment: 4.18 μB per formula unit
E_tot: -6.961 eV per cell
energy above the most stable polymorph in this dataset: 2.082 eV per atom
DOS(E_F): 6.936 states/eV/f.u.

abc: 4.547 4.547 4.547
angles: 90.00 90.00 90.00
Positions (direct):
Ni: 0.000 0.000 0.500
Ni: 0.000 0.500 0.000
Ni: 0.500 0.000 0.000
Pd: 0.000 0.000 0.000
O: 0.500 0.500 0.500